# Sn3Se

A relaxed Sn3Se crystal (GGA-PBE, Alexandria via LeMat-Bulk).

Lattice parameters (Å, degrees): 5.2586 5.2586 5.2586 60.00 60.00 60.00
Last column: nearest neighbours and their distance in Å.
Atoms (fractional coordinates):
Sn1 0.2500 0.2500 0.2500  4 Se 3.22, 4 Sn 3.22
Se1 0.0000 0.0000 0.0000  8 Sn 3.22
Sn2 0.7500 0.7500 0.7500  4 Sn 3.22, 4 Se 3.22
Sn3 0.5000 0.5000 0.5000  8 Sn 3.22

Calculated values
As for the size of the total moment: 0.000 μB per formula unit. The crystal system is cubic. The space group is Fm-3m (225). The uncorrected formation energy is 0.05 eV/atom.

# SnSe

A relaxed SnSe crystal (GGA-PBE, Alexandria via LeMat-Bulk).

Lattice parameters (Å, degrees): 6.7706 6.7706 6.7706 90.00 90.00 90.00
Last column: nearest neighbours and their distance in Å.
Atoms (fractional coordinates):
Se1 0.7500 0.7500 0.2500  4 Sn 2.93
Sn1 0.5000 0.5000 0.0000  4 Se 2.93
Se2 0.7500 0.2500 0.7500  4 Sn 2.93
Sn2 0.0000 0.0000 0.0000  4 Se 2.93
Se3 0.2500 0.7500 0.7500  4 Sn 2.93
Se4 0.2500 0.2500 0.2500  4 Sn 2.93
Sn3 0.5000 0.0000 0.5000  4 Se 2.93
Sn4 0.0000 0.5000 0.5000  4 Se 2.93

Calculated values
As for the size of the total moment: 0.000 μB per formula unit. The crystal system is cubic. The space group is F-43m (216). The uncorrected formation energy is -0.20 eV/atom.

# Sn4Se5

A relaxed Sn4Se5 crystal (GGA-PBE, Alexandria via LeMat-Bulk).

Lattice parameters (Å, degrees): 3.7428 8.0647 8.0481 86.91 76.79 76.34
Last column: nearest neighbours and their distance in Å.
Atoms (fractional coordinates):
Se1 0.6990 0.3010 0.3010  4 Sn 3.01-3.02, 1 Se 3.34
Se2 0.3010 0.6990 0.6990  4 Sn 3.01-3.02, 1 Se 3.34
Sn1 0.6623 0.6753 0.0000  6 Se 3.01-3.17, 2 Sn 3.32-3.33
Se3 0.0000 0.6990 0.3010  4 Sn 3.01-3.02, 1 Se 3.34
Sn2 0.3375 0.0000 0.3247  6 Se 3.01-3.16, 2 Sn 3.32-3.33
Sn3 0.3377 0.3247 0.0000  6 Se 3.01-3.17, 2 Sn 3.32-3.33
Se4 0.0000 0.0000 0.0000  8 Sn 3.15-3.17, 4 Se 3.34
Sn4 0.6625 0.0000 0.6753  6 Se 3.01-3.16, 2 Sn 3.32-3.33
Se5 0.0000 0.3010 0.6990  4 Sn 3.01-3.02, 1 Se 3.34

Calculated values
As for the size of the total moment: 0.000 μB per formula unit. The crystal system is monoclinic. The space group is C2/m (12). The uncorrected formation energy is -0.01 eV/atom.

# Sn3Se

A relaxed Sn3Se crystal (GGA-PBE, Alexandria via LeMat-Bulk).

Lattice parameters (Å, degrees): 4.7393 4.7393 4.7393 90.00 90.00 90.00
Last column: nearest neighbours and their distance in Å.
Atoms (fractional coordinates):
Sn1 0.5000 0.0000 0.5000  8 Sn 3.35, 4 Se 3.35
Se1 0.0000 0.0000 0.0000  12 Sn 3.35
Sn2 0.0000 0.5000 0.5000  4 Se 3.35, 8 Sn 3.35
Sn3 0.5000 0.5000 0.0000  8 Sn 3.35, 4 Se 3.35

Calculated values
As for the size of the total moment: 0.000 μB per formula unit. The crystal system is cubic. The space group is Pm-3m (221). The uncorrected formation energy is 0.05 eV/atom.

# SnSe

A relaxed SnSe crystal (GGA-PBE, Alexandria via LeMat-Bulk).

Lattice parameters (Å, degrees): 10.5042 10.5042 4.1002 90.00 90.00 120.00
Last column: nearest neighbours and their distance in Å.
Atoms (fractional coordinates):
Sn1 0.6880 0.1511 0.7500  3 Se 2.73-2.82
Sn2 0.1511 0.4630 0.2500  3 Se 2.73-2.82
Se1 0.2001 0.3218 0.7500  3 Sn 2.73-2.82
Sn3 0.3120 0.8489 0.2500  3 Se 2.73-2.82
Se2 0.8783 0.2001 0.2500  3 Sn 2.73-2.82
Sn4 0.5370 0.6880 0.2500  3 Se 2.73-2.82
Sn5 0.8489 0.5370 0.7500  3 Se 2.73-2.82
Se3 0.7999 0.6782 0.2500  3 Sn 2.73-2.82
Se4 0.3218 0.1217 0.2500  3 Sn 2.73-2.82
Se5 0.6782 0.8783 0.7500  3 Sn 2.73-2.82
Sn6 0.4630 0.3120 0.7500  3 Se 2.73-2.82
Se6 0.1217 0.7999 0.7500  3 Sn 2.73-2.82

Calculated values
As for the size of the total moment: 0.000 μB per formula unit. The crystal system is hexagonal. The space group is P6_3/m (176). The uncorrected formation energy is -0.30 eV/atom.

# Sn4Se

A relaxed Sn4Se crystal (GGA-PBE, Alexandria via LeMat-Bulk).

Lattice parameters (Å, degrees): 5.5325 5.5325 5.5325 90.00 90.00 90.00
Last column: nearest neighbours and their distance in Å.
Atoms (fractional coordinates):
Sn1 0.0000 0.0000 0.0000  12 Sn 3.91
Sn2 0.5000 0.5000 0.0000  2 Se 2.77
Sn3 0.0000 0.5000 0.5000  2 Se 2.77
Sn4 0.5000 0.0000 0.5000  2 Se 2.77
Se1 0.5000 0.5000 0.5000  6 Sn 2.77

Calculated values
As for the size of the total moment: 0.000 μB per formula unit. The crystal system is cubic. The space group is Pm-3m (221). The uncorrected formation energy is 0.34 eV/atom.

# SnSe

A relaxed SnSe crystal (GGA-PBE, Alexandria via LeMat-Bulk).

Lattice parameters (Å, degrees): 4.1683 11.6131 7.6410 90.00 90.00 90.00
Last column: nearest neighbours and their distance in Å.
Atoms (fractional coordinates):
Sn1 0.0000 0.0000 0.7690  5 Se 2.72-3.03
Sn2 0.0000 0.8156 0.3561  3 Se 2.78-2.86
Se1 0.0000 0.5000 0.6247  3 Sn 2.72-2.78
Sn3 0.0000 0.6844 0.8561  3 Se 2.78-2.86
Se2 0.5000 0.6831 0.1981  4 Sn 2.86-3.03
Sn4 0.0000 0.1844 0.3561  3 Se 2.78-2.86
Se3 0.0000 0.0000 0.1247  3 Sn 2.72-2.78
Sn5 0.0000 0.5000 0.2690  5 Se 2.72-3.03
Se4 0.5000 0.8169 0.6981  4 Sn 2.86-3.03
Sn6 0.0000 0.3156 0.8561  3 Se 2.78-2.86
Se5 0.5000 0.3169 0.1981  4 Sn 2.86-3.03
Se6 0.5000 0.1831 0.6981  4 Sn 2.86-3.03

Calculated values
As for the size of the total moment: 0.000 μB per formula unit. The crystal system is orthorhombic. The space group is Amm2 (38). The uncorrected formation energy is -0.30 eV/atom.

# SnSe

A relaxed SnSe crystal (GGA-PBE, Alexandria via LeMat-Bulk).

Lattice parameters (Å, degrees): 4.5378 4.2059 11.7517 90.00 90.00 90.00
Last column: nearest neighbours and their distance in Å.
Atoms (fractional coordinates):
Se1 0.0260 0.7500 0.3551  3 Sn 2.79-2.82
Sn1 0.6154 0.2500 0.3796  3 Se 2.79-2.82
Se2 0.5260 0.2500 0.1449  3 Sn 2.79-2.82
Sn2 0.3846 0.7500 0.6204  3 Se 2.79-2.82
Se3 0.9740 0.2500 0.6449  3 Sn 2.79-2.82
Sn3 0.1154 0.7500 0.1204  3 Se 2.79-2.82
Se4 0.4740 0.7500 0.8551  3 Sn 2.79-2.82
Sn4 0.8846 0.2500 0.8796  3 Se 2.79-2.82

Calculated values
As for the size of the total moment: 0.000 μB per formula unit. The crystal system is orthorhombic. The space group is Pnma (62). The uncorrected formation energy is -0.44 eV/atom.

# SnSe

A relaxed SnSe crystal (GGA-PBE, Alexandria via LeMat-Bulk).

Lattice parameters (Å, degrees): 7.4838 7.4838 10.5439 90.00 90.00 131.33
Last column: nearest neighbours and their distance in Å.
Atoms (fractional coordinates):
Sn1 0.1024 0.7904 0.7500  2 Se 2.60-2.65
Se1 0.3277 0.6398 0.2500  2 Sn 2.60-2.65
Se2 0.3602 0.6723 0.7500  2 Sn 2.60-2.65
Se3 0.6723 0.3602 0.7500  2 Sn 2.60-2.65
Sn2 0.8976 0.2096 0.2500  2 Se 2.60-2.65
Se4 0.6398 0.3277 0.2500  2 Sn 2.60-2.65
Sn3 0.2096 0.8976 0.2500  2 Se 2.60-2.65
Sn4 0.7904 0.1024 0.7500  2 Se 2.60-2.65

Calculated values
As for the size of the total moment: 0.000 μB per formula unit. The crystal system is orthorhombic. The space group is Cmcm (63). The uncorrected formation energy is -0.05 eV/atom.

# Sn6Se5

A relaxed Sn6Se5 crystal (GGA-PBE, Alexandria via LeMat-Bulk).

Lattice parameters (Å, degrees): 7.0802 7.4197 7.1273 79.52 67.59 61.50
Last column: nearest neighbours and their distance in Å.
Atoms (fractional coordinates):
Sn1 0.3680 0.6945 0.7684  5 Se 2.87-3.10
Se1 0.7949 0.4103 0.5000  4 Sn 2.87-2.94
Sn2 0.7759 0.0000 0.7387  5 Se 2.90-3.24
Se2 0.3483 0.3034 0.0000  6 Sn 2.90-3.10
Se3 0.5000 0.0000 0.5000  6 Sn 2.96-3.04
Sn3 0.9375 0.6945 0.2316  5 Se 2.87-3.10
Se4 0.2051 0.5897 0.5000  4 Sn 2.87-2.94
Sn4 0.0625 0.3055 0.7684  5 Se 2.87-3.10
Sn5 0.6320 0.3055 0.2316  5 Se 2.87-3.10
Sn6 0.2241 0.0000 0.2613  5 Se 2.90-3.24
Se5 0.6517 0.6966 0.0000  6 Sn 2.90-3.10

Calculated values
As for the size of the total moment: 0.000 μB per formula unit. The crystal system is monoclinic. The space group is C2/m (12). The uncorrected formation energy is -0.30 eV/atom.

# SnSe

A relaxed SnSe crystal (GGA-PBE, Alexandria via LeMat-Bulk).

Lattice parameters (Å, degrees): 11.7902 11.7902 3.9839 90.00 90.00 90.00
Last column: nearest neighbours and their distance in Å.
Atoms (fractional coordinates):
Se1 0.1605 0.3655 0.0000  3 Sn 2.74-2.87
Sn1 0.2855 0.6093 0.0000  3 Se 2.74-2.87
Se2 0.1345 0.6605 0.5000  3 Sn 2.74-2.87
Sn2 0.6093 0.7145 0.0000  3 Se 2.74-2.87
Sn3 0.1093 0.2145 0.5000  3 Se 2.74-2.87
Se3 0.8395 0.6345 0.0000  3 Sn 2.74-2.87
Se4 0.3395 0.1345 0.5000  3 Sn 2.74-2.87
Se5 0.6605 0.8655 0.5000  3 Sn 2.74-2.87
Se6 0.8655 0.3395 0.5000  3 Sn 2.74-2.87
Sn4 0.7145 0.3907 0.0000  3 Se 2.74-2.87
Sn5 0.2145 0.8907 0.5000  3 Se 2.74-2.87
Sn6 0.7855 0.1093 0.5000  3 Se 2.74-2.87
Sn7 0.3907 0.2855 0.0000  3 Se 2.74-2.87
Sn8 0.8907 0.7855 0.5000  3 Se 2.74-2.87
Se7 0.3655 0.8395 0.0000  3 Sn 2.74-2.87
Se8 0.6345 0.1605 0.0000  3 Sn 2.74-2.87

Calculated values
As for the size of the total moment: 0.000 μB per formula unit. The crystal system is tetragonal. The space group is I4/m (87). The uncorrected formation energy is -0.36 eV/atom.

# SnSe

A relaxed SnSe crystal (GGA-PBE, Alexandria via LeMat-Bulk).

Lattice parameters (Å, degrees): 8.2210 8.2210 8.2210 90.00 90.00 90.00
Last column: nearest neighbours and their distance in Å.
Atoms (fractional coordinates):
Sn1 0.2500 0.5000 0.0000  4 Se 2.91
Se1 0.5000 0.2500 0.0000  4 Sn 2.91
Sn2 0.0000 0.7500 0.5000  4 Se 2.91
Se2 0.0000 0.5000 0.7500  4 Sn 2.91
Se3 0.2500 0.0000 0.5000  4 Sn 2.91
Se4 0.7500 0.0000 0.5000  4 Sn 2.91
Sn3 0.7500 0.5000 0.0000  4 Se 2.91
Sn4 0.5000 0.0000 0.7500  4 Se 2.91
Se5 0.5000 0.7500 0.0000  4 Sn 2.91
Sn5 0.0000 0.2500 0.5000  4 Se 2.91
Se6 0.0000 0.5000 0.2500  4 Sn 2.91
Sn6 0.5000 0.0000 0.2500  4 Se 2.91

Calculated values
As for the size of the total moment: 0.000 μB per formula unit. The crystal system is cubic. The space group is Pm-3n (223). The uncorrected formation energy is -0.21 eV/atom.